Entry 1:
## YZnRh (GGA-PBE)

Data for a relaxed YZnRh crystal.

Cell and atoms, written as extended XYZ:
```
3
Lattice="-1.7123 1.7123 4.8088 1.7123 -1.7123 4.8088 1.7123 1.7123 -4.8088" Properties=species:S:1:pos:R:3 pbc="T T T"
Y 0.0000 0.0000 0.0000
Zn 0.0000 0.0000 2.9103
Rh 0.0000 0.0000 6.5096
```

Properties
The value obtained for the theoretical density is 7574 kg/m³. The calculation puts the volume at 18.798 Å³ per atom. For the uncorrected energy, the calculation gives -5.58 eV/atom. Its formation energy is -0.547 eV per atom. As for the space group: No. 107. The density of states at the Fermi level is 2.18 states/eV per cell.

Entry 2:
## Y8Zn2Rh (GGA-PBE)

Data for a relaxed Y8Zn2Rh crystal.

Cell and atoms, written as extended XYZ:
```
11
Lattice="3.7489 -8.0250 0.0000 3.7489 8.0250 0.0000 -3.2995 0.0000 5.1342" Properties=species:S:1:pos:R:3 pbc="T T T"
Y 0.0000 0.0000 0.0000
Y 2.0789 6.1208 2.7070
Y 2.8417 1.8423 0.9673
Y 1.1996 0.0000 3.3760
Y 2.6242 3.1415 4.4581
Y 2.8417 -1.8423 0.9673
Y 2.0789 -6.1208 2.7070
Y 2.6242 -3.1415 4.4581
Zn 0.5788 3.5914 1.8353
Zn 0.5788 -3.5914 1.8353
Rh 4.9606 0.0000 0.8940
```

Properties
The value obtained for the theoretical density is 5079 kg/m³. The calculation puts the volume at 28.084 Å³ per atom. For the uncorrected energy, the calculation gives -5.81 eV/atom. The distance to the lowest polymorph of the same formula is 0.062 eV/atom. Its formation energy is -0.209 eV per atom. As for the space group: No. 8. The density of states at the Fermi level is 13.42 states/eV per cell.

> The highest theoretical density belongs to which entry?

YZnRh